The following is a GGA-PBE calculation of a relaxed structure of TcHg3Br, from the Alexandria database.

E_form (uncorrected) (eV/atom): 1.33
Energy above the most stable polymorph in this dataset (meV/atom): 798.2
Total energy (eV/cell): -6.316
D(E_F) (states/eV/atom): 2.73
Total magnetization (μB/f.u.): 5.1

abc: 5.986 5.986 5.986
angles: 90.00 90.00 90.00
Fractional positions:
Hg 0.000 0.500 0.000
Hg 0.000 0.000 0.500
Hg 0.500 0.000 0.000
Br 0.000 0.000 0.000
Tc 0.500 0.500 0.500